Density functional theory data (PBE-GGA) for a relaxed Sm4TlCd2In crystal.

Cell lengths 5.423, 5.423, 9.396 Å; angles 73.23, 73.23, 60.00 degrees
Element x y z (fractional)
Sm  0.625  0.625  0.126
Sm  0.125  0.125  0.624
Sm  0.875  0.875  0.376
Sm  0.375  0.375  0.874
Tl  0.000  0.000  0.000
Cd  0.249  0.249  0.253
Cd  0.751  0.751  0.747
In  0.500  0.500  0.500

Calculated values
density	8.43	Mg/m³
energy relative to the elements	-388.3	meV per atom